VASP calculation (PBE) on a geometry-optimized HfSc2Si4Ni4 structure.

Computed properties:
Total magnetization in μB/f.u.: 0.0
Electronic total energy in eV/cell: -151.72
Calculated volume in Å³/cell: 311

Cell lengths 3.8335, 6.4148, 12.6291 Å; angles 90.00, 90.00, 90.00 degrees
Space group Immm (No. 71)
Symmetry-distinct sites (fractional):
Hf1 0.0000 0.0000 0.0000
Sc1 0.0000 0.5000 0.1258
Si1 0.0000 0.0000 0.2179
Si2 0.0000 0.1942 0.5000
Ni1 0.0000 0.3032 0.3238

***

VASP calculation (PBE) on a geometry-optimized Hf2ScNi4Sn4 structure.

Computed properties:
Total magnetization in μB/f.u.: 0.0
Electronic total energy in eV/cell: -138.40
Calculated volume in Å³/cell: 393

Cell lengths 4.1625, 6.8880, 13.6939 Å; angles 90.00, 90.00, 90.00 degrees
Space group Immm (No. 71)
Symmetry-distinct sites (fractional):
Hf1 0.0000 0.0000 0.1316
Sc1 0.0000 0.5000 0.0000
Ni1 0.0000 0.2038 0.3194
Sn1 0.0000 0.2923 0.5000
Sn2 0.0000 0.5000 0.2092

***

VASP calculation (PBE) on a geometry-optimized HfScNiSn structure.

Computed properties:
Total magnetization in μB/f.u.: 2.7
Electronic total energy in eV/cell: -103.48
E above lowest polymorph in meV/atom: 0
Calculated volume in Å³/cell: 303

Cell lengths 6.7185, 6.7185, 6.7185 Å; angles 90.00, 90.00, 90.00 degrees
Space group F-43m (No. 216)
Symmetry-distinct sites (fractional):
Hf1 0.0000 0.0000 0.0000
Sc1 0.2500 0.2500 0.2500
Ni1 0.2500 0.2500 0.7500
Sn1 0.0000 0.0000 0.5000

***

VASP calculation (PBE) on a geometry-optimized HfScTlNi structure.

Computed properties:
Total magnetization in μB/f.u.: 2.0
Electronic total energy in eV/cell: -94.57
E above lowest polymorph in meV/atom: 0
Calculated volume in Å³/cell: 303

Cell lengths 6.7180, 6.7180, 6.7180 Å; angles 90.00, 90.00, 90.00 degrees
Space group F-43m (No. 216)
Symmetry-distinct sites (fractional):
Hf1 0.0000 0.0000 0.0000
Sc1 0.2500 0.2500 0.2500
Tl1 0.0000 0.0000 0.5000
Ni1 0.2500 0.2500 0.7500

***

- The lowest electronic total energy belongs to which entry?
  HfSc2Si4Ni4

***

- The lowest electronic total energy belongs to which entry?
  HfSc2Si4Ni4

***

- Which of these has the highest total magnetization?
  HfScNiSn